1 | First-principles (GGA-PBE) data for a relaxed structure of Pr2AgS, as listed in Alexandria.

- M_tot (μB/f.u.) = 0.000

abc: 12.360 12.360 4.234
angles: 90.00 90.00 160.84
Atoms (fractional coordinates):
Pr (0.076, 0.924, 0.750)
Pr (0.309, 0.691, 0.750)
Pr (0.691, 0.309, 0.250)
Pr (0.924, 0.076, 0.250)
Ag (0.460, 0.540, 0.750)
Ag (0.540, 0.460, 0.250)
S (0.192, 0.808, 0.750)
S (0.808, 0.192, 0.250)

2 | First-principles (GGA-PBE) data for a relaxed structure of Pr2AgS, as listed in Alexandria.

- M_tot (μB/f.u.) = 0.000

abc: 7.619 7.619 7.619
angles: 31.85 31.85 31.85
Atoms (fractional coordinates):
Pr (0.240, 0.240, 0.240)
Pr (0.760, 0.760, 0.760)
Ag (0.000, 0.000, 0.000)
S (0.500, 0.500, 0.500)

Which structure is most stable? 1, by 74 meV/atom over the runner-up.

1 | First-principles (GGA-PBE) data for a relaxed structure of PrSc2Ag, as listed in Alexandria.

- M_tot (μB/f.u.) = 0.669

abc: 4.584 4.584 4.774
angles: 90.00 90.00 90.00
Atoms (fractional coordinates):
Pr (0.000, 0.000, 0.000)
Sc (0.000, 0.500, 0.500)
Sc (0.500, 0.000, 0.500)
Ag (0.500, 0.500, 0.000)

2 | First-principles (GGA-PBE) data for a relaxed structure of PrSc2Ag, as listed in Alexandria.

- M_tot (μB/f.u.) = 0.000

abc: 10.212 10.212 10.212
angles: 19.50 19.50 19.50
Atoms (fractional coordinates):
Pr (0.000, 0.000, 0.000)
Sc (0.570, 0.570, 0.570)
Sc (0.761, 0.761, 0.761)
Ag (0.165, 0.165, 0.165)

Which structure is most stable? 1, by 29 meV/atom over the runner-up.

1 | First-principles (GGA-PBE) data for a relaxed structure of PrScAg2, as listed in Alexandria.

- M_tot (μB/f.u.) = 0.000

abc: 5.158 5.158 3.574
angles: 90.00 90.00 90.00
Atoms (fractional coordinates):
Pr (0.000, 0.000, 0.000)
Sc (0.500, 0.500, 0.000)
Ag (0.000, 0.500, 0.500)
Ag (0.500, 0.000, 0.500)

2 | First-principles (GGA-PBE) data for a relaxed structure of PrScAg2, as listed in Alexandria.

- M_tot (μB/f.u.) = 0.001

abc: 3.537 3.537 7.474
angles: 90.00 90.00 90.00
Atoms (fractional coordinates):
Pr (0.000, 0.000, 0.000)
Sc (0.000, 0.000, 0.500)
Ag (0.500, 0.500, 0.291)
Ag (0.500, 0.500, 0.709)

3 | First-principles (GGA-PBE) data for a relaxed structure of PrScAg2, as listed in Alexandria.

- M_tot (μB/f.u.) = 0.000

abc: 5.437 5.437 5.437
angles: 53.92 53.92 53.92
Atoms (fractional coordinates):
Pr (0.000, 0.000, 0.000)
Sc (0.500, 0.500, 0.500)
Ag (0.223, 0.223, 0.223)
Ag (0.777, 0.777, 0.777)

Which structure is most stable? 2, by 38 meV/atom over the runner-up.

1 | First-principles (GGA-PBE) data for a relaxed structure of PrSmAg, as listed in Alexandria.

- M_tot (μB/f.u.) = 0.000

abc: 7.251 5.213 9.367
angles: 90.00 90.00 90.00
Atoms (fractional coordinates):
Pr (0.010, 0.250, 0.185)
Pr (0.490, 0.750, 0.685)
Pr (0.510, 0.250, 0.315)
Pr (0.990, 0.750, 0.815)
Sm (0.154, 0.250, 0.581)
Sm (0.346, 0.750, 0.081)
Sm (0.654, 0.250, 0.919)
Sm (0.846, 0.750, 0.419)
Ag (0.242, 0.250, 0.901)
Ag (0.258, 0.750, 0.401)
Ag (0.742, 0.250, 0.599)
Ag (0.758, 0.750, 0.099)

2 | First-principles (GGA-PBE) data for a relaxed structure of PrSmAg, as listed in Alexandria.

- M_tot (μB/f.u.) = 0.573

abc: 6.881 6.881 6.881
angles: 148.49 148.49 45.16
Atoms (fractional coordinates):
Pr (0.000, 0.000, 0.000)
Sm (0.296, 0.296, 0.000)
Ag (0.656, 0.656, 0.000)

Which structure is most stable? 1, by 10 meV/atom over the runner-up.

1 | First-principles (GGA-PBE) data for a relaxed structure of PrSmAg, as listed in Alexandria.

- M_tot (μB/f.u.) = 0.000

abc: 4.810 4.810 7.853
angles: 90.00 90.00 90.00
Atoms (fractional coordinates):
Pr (0.250, 0.250, 0.129)
Pr (0.750, 0.750, 0.871)
Sm (0.250, 0.750, 0.500)
Sm (0.750, 0.250, 0.500)
Ag (0.250, 0.250, 0.752)
Ag (0.750, 0.750, 0.248)

2 | First-principles (GGA-PBE) data for a relaxed structure of PrSmAg, as listed in Alexandria.

- M_tot (μB/f.u.) = 0.955

abc: 5.176 5.176 5.176
angles: 60.00 60.00 60.00
Atoms (fractional coordinates):
Pr (0.000, 0.000, 0.000)
Sm (0.500, 0.500, 0.500)
Ag (0.750, 0.750, 0.750)

3 | First-principles (GGA-PBE) data for a relaxed structure of PrSmAg, as listed in Alexandria.

- M_tot (μB/f.u.) = 0.000

abc: 5.151 5.151 3.765
angles: 90.00 90.00 120.00
Atoms (fractional coordinates):
Pr (0.000, 0.000, 0.000)
Sm (0.667, 0.333, 0.572)
Ag (0.333, 0.667, 0.315)

4 | First-principles (GGA-PBE) data for a relaxed structure of PrSmAg, as listed in Alexandria.

- M_tot (μB/f.u.) = 0.315

abc: 7.411 3.713 12.890
angles: 90.00 90.00 90.00
Atoms (fractional coordinates):
Pr (0.130, 0.250, 0.096)
Pr (0.370, 0.750, 0.596)
Pr (0.630, 0.250, 0.404)
Pr (0.870, 0.750, 0.904)
Sm (0.122, 0.250, 0.392)
Sm (0.378, 0.750, 0.892)
Sm (0.622, 0.250, 0.108)
Sm (0.878, 0.750, 0.608)
Ag (0.124, 0.250, 0.756)
Ag (0.376, 0.750, 0.256)
Ag (0.624, 0.250, 0.744)
Ag (0.876, 0.750, 0.244)

Which structure is most stable? 4, by 53 meV/atom over the runner-up.

1 | First-principles (GGA-PBE) data for a relaxed structure of Pr2SmAg2, as listed in Alexandria.

- M_tot (μB/f.u.) = 0.000

abc: 3.766 5.425 14.007
angles: 90.00 97.68 90.00
Atoms (fractional coordinates):
Pr (0.047, 0.250, 0.095)
Pr (0.235, 0.250, 0.468)
Pr (0.765, 0.750, 0.532)
Pr (0.953, 0.750, 0.905)
Sm (0.145, 0.750, 0.290)
Sm (0.855, 0.250, 0.710)
Ag (0.358, 0.750, 0.718)
Ag (0.451, 0.250, 0.900)
Ag (0.549, 0.750, 0.100)
Ag (0.642, 0.250, 0.282)

2 | First-principles (GGA-PBE) data for a relaxed structure of Pr2SmAg2, as listed in Alexandria.

- M_tot (μB/f.u.) = 0.000

abc: 7.773 7.773 7.773
angles: 117.85 81.77 132.52
Atoms (fractional coordinates):
Pr (0.211, 0.147, 0.358)
Pr (0.289, 0.647, 0.936)
Pr (0.711, 0.353, 0.064)
Pr (0.789, 0.853, 0.642)
Sm (0.250, 0.750, 0.500)
Sm (0.750, 0.250, 0.500)
Ag (0.056, 0.835, 0.891)
Ag (0.444, 0.335, 0.780)
Ag (0.556, 0.665, 0.220)
Ag (0.944, 0.165, 0.109)

Which structure is most stable? 1, by 142 meV/atom over the runner-up.

1 | First-principles (GGA-PBE) data for a relaxed structure of Pr2SmAg, as listed in Alexandria.

- M_tot (μB/f.u.) = 0.000

abc: 7.136 10.651 6.665
angles: 90.00 90.00 90.00
Atoms (fractional coordinates):
Pr (0.197, 0.044, 0.169)
Pr (0.197, 0.456, 0.169)
Pr (0.303, 0.544, 0.669)
Pr (0.303, 0.956, 0.669)
Pr (0.697, 0.044, 0.331)
Pr (0.697, 0.456, 0.331)
Pr (0.803, 0.544, 0.831)
Pr (0.803, 0.956, 0.831)
Sm (0.013, 0.250, 0.631)
Sm (0.487, 0.750, 0.131)
Sm (0.513, 0.250, 0.869)
Sm (0.987, 0.750, 0.369)
Ag (0.100, 0.750, 0.923)
Ag (0.400, 0.250, 0.423)
Ag (0.600, 0.750, 0.577)
Ag (0.900, 0.250, 0.077)

2 | First-principles (GGA-PBE) data for a relaxed structure of Pr2SmAg, as listed in Alexandria.

- M_tot (μB/f.u.) = 0.000

abc: 5.557 5.557 5.557
angles: 60.00 60.00 60.00
Atoms (fractional coordinates):
Pr (0.250, 0.250, 0.250)
Pr (0.750, 0.750, 0.750)
Sm (0.000, 0.000, 0.000)
Ag (0.500, 0.500, 0.500)

Which structure is most stable? 1, by 164 meV/atom over the runner-up.

1 | First-principles (GGA-PBE) data for a relaxed structure of PrSmAg3, as listed in Alexandria.

- M_tot (μB/f.u.) = 0.000

abc: 7.018 4.828 7.925
angles: 90.00 111.46 90.00
Atoms (fractional coordinates):
Pr (0.022, 0.250, 0.187)
Pr (0.978, 0.750, 0.813)
Sm (0.379, 0.750, 0.614)
Sm (0.621, 0.250, 0.386)
Ag (0.093, 0.250, 0.595)
Ag (0.344, 0.250, 0.968)
Ag (0.348, 0.750, 0.199)
Ag (0.652, 0.250, 0.801)
Ag (0.656, 0.750, 0.032)
Ag (0.907, 0.750, 0.405)

2 | First-principles (GGA-PBE) data for a relaxed structure of PrSmAg3, as listed in Alexandria.

- M_tot (μB/f.u.) = 0.000

abc: 14.372 14.372 4.841
angles: 90.00 90.00 165.48
Atoms (fractional coordinates):
Pr (0.074, 0.926, 0.750)
Pr (0.926, 0.074, 0.250)
Sm (0.209, 0.791, 0.250)
Sm (0.791, 0.209, 0.750)
Ag (0.324, 0.676, 0.250)
Ag (0.379, 0.621, 0.750)
Ag (0.476, 0.524, 0.750)
Ag (0.524, 0.476, 0.250)
Ag (0.621, 0.379, 0.250)
Ag (0.676, 0.324, 0.750)

Which structure is most stable? 2, by 26 meV/atom over the runner-up.

1 | First-principles (GGA-PBE) data for a relaxed structure of PrSm2Ag2, as listed in Alexandria.

- M_tot (μB/f.u.) = 0.000

abc: 5.038 5.038 6.558
angles: 108.23 108.23 88.90
Atoms (fractional coordinates):
Pr (0.000, 0.000, 0.000)
Sm (0.251, 0.749, 0.500)
Sm (0.749, 0.251, 0.500)
Ag (0.356, 0.356, 0.787)
Ag (0.644, 0.644, 0.213)

2 | First-principles (GGA-PBE) data for a relaxed structure of PrSm2Ag2, as listed in Alexandria.

- M_tot (μB/f.u.) = 0.000

abc: 3.732 5.415 13.910
angles: 90.00 97.67 90.00
Atoms (fractional coordinates):
Pr (0.145, 0.250, 0.290)
Pr (0.855, 0.750, 0.710)
Sm (0.048, 0.750, 0.096)
Sm (0.235, 0.750, 0.469)
Sm (0.765, 0.250, 0.531)
Sm (0.952, 0.250, 0.904)
Ag (0.358, 0.250, 0.716)
Ag (0.455, 0.750, 0.910)
Ag (0.545, 0.250, 0.090)
Ag (0.642, 0.750, 0.284)

Which structure is most stable? 2, by 161 meV/atom over the runner-up.

1 | First-principles (GGA-PBE) data for a relaxed structure of TbPrSmAg, as listed in Alexandria.

- M_tot (μB/f.u.) = 0.000

abc: 3.684 3.684 8.808
angles: 90.00 90.00 90.00
Atoms (fractional coordinates):
Tb (0.000, 0.000, 0.000)
Pr (0.500, 0.500, 0.710)
Sm (0.000, 0.000, 0.416)
Ag (0.500, 0.500, 0.199)

2 | First-principles (GGA-PBE) data for a relaxed structure of TbPrSmAg, as listed in Alexandria.

- M_tot (μB/f.u.) = 0.000

abc: 5.494 5.494 5.494
angles: 60.00 60.00 60.00
Atoms (fractional coordinates):
Tb (0.000, 0.000, 0.000)
Pr (0.750, 0.750, 0.750)
Sm (0.250, 0.250, 0.250)
Ag (0.500, 0.500, 0.500)

Which structure is most stable? 1, by 195 meV/atom over the runner-up.

1 | First-principles (GGA-PBE) data for a relaxed structure of Pr3AgSn2, as listed in Alexandria.

- M_tot (μB/f.u.) = 0.000

abc: 9.059 9.059 6.383
angles: 102.98 102.98 42.50
Atoms (fractional coordinates):
Pr (0.157, 0.843, 0.750)
Pr (0.219, 0.439, 0.398)
Pr (0.439, 0.219, 0.898)
Pr (0.561, 0.781, 0.102)
Pr (0.781, 0.561, 0.602)
Pr (0.843, 0.157, 0.250)
Ag (0.362, 0.638, 0.250)
Ag (0.638, 0.362, 0.750)
Sn (0.049, 0.263, 0.045)
Sn (0.263, 0.049, 0.545)
Sn (0.737, 0.951, 0.455)
Sn (0.951, 0.737, 0.955)

2 | First-principles (GGA-PBE) data for a relaxed structure of Pr3AgSn2, as listed in Alexandria.

- M_tot (μB/f.u.) = 0.849

abc: 12.724 4.733 11.968
angles: 90.00 90.00 90.00
Atoms (fractional coordinates):
Pr (0.046, 0.250, 0.131)
Pr (0.137, 0.750, 0.570)
Pr (0.219, 0.250, 0.806)
Pr (0.281, 0.750, 0.306)
Pr (0.363, 0.250, 0.070)
Pr (0.454, 0.750, 0.631)
Pr (0.546, 0.250, 0.369)
Pr (0.637, 0.750, 0.930)
Pr (0.719, 0.250, 0.694)
Pr (0.781, 0.750, 0.194)
Pr (0.863, 0.250, 0.430)
Pr (0.954, 0.750, 0.869)
Ag (0.123, 0.250, 0.386)
Ag (0.377, 0.750, 0.886)
Ag (0.623, 0.250, 0.114)
Ag (0.877, 0.750, 0.614)
Sn (0.008, 0.750, 0.321)
Sn (0.182, 0.750, 0.010)
Sn (0.318, 0.250, 0.510)
Sn (0.492, 0.250, 0.821)
Sn (0.508, 0.750, 0.179)
Sn (0.682, 0.750, 0.490)
Sn (0.818, 0.250, 0.990)
Sn (0.992, 0.250, 0.679)

Which structure is most stable? 2, by 112 meV/atom over the runner-up.